# Si2AsRu

Si2AsRu after structural relaxation (PBE, the Alexandria database).

Its size of the total moment is 0.0 μB per cell. The value obtained for the formation energy without anion corrections is 337 meV per atom.

The space group is Pmmm (No. 47) and the conventional cell measures 3.121, 4.060 and 4.786 Å, with angles of 90.00, 90.00 and 90.00 degrees. The asymmetric unit holds Si at (0.000, 0.000, 0.000), Si at (0.500, 0.000, 0.500), As at (0.000, 0.500, 0.500) and Ru at (0.500, 0.500, 0.000).